1.
8
Lattice="-1.829 1.829 10.092 1.829 -1.829 10.092 1.829 1.829 -10.092" Properties=species:S:1:pos:R:3 comment="LiW2Au (PBE, optimized geometry)" magnetic_moment_mub_per_cell=0.0 e_tot_ev_per_atom=-7.111 spacegroup="I-42d, No. 122" formation_energy_ev_per_atom=0.6631 pbc="T T T"
Li 0.000 0.000 0.000
Li 0.000 1.829 5.046
W 2.743 0.900 -2.523
W 0.900 0.914 2.523
W -0.914 0.929 7.569
W 0.929 0.914 12.615
Au 1.829 0.000 5.046
Au 0.000 0.000 10.092



2.
4
Lattice="4.973 -1.450 0.000 4.973 1.450 0.000 -0.806 0.000 4.417" Properties=species:S:1:pos:R:3 comment="LiW2Au (PBE, optimized geometry)" magnetic_moment_mub_per_cell=0.0 e_tot_ev_per_atom=-7.479 spacegroup="C2/m, No. 12" formation_energy_ev_per_atom=0.2954 pbc="T T T"
Li 0.000 0.000 0.000
W 1.805 0.000 3.304
W 7.334 0.000 1.113
Au 4.570 0.000 2.208



3.
5
Lattice="5.096 0.000 0.000 0.000 5.096 0.000 0.000 0.000 5.096" Properties=species:S:1:pos:R:3 comment="LiWAu3 (PBE, optimized geometry)" magnetic_moment_mub_per_cell=0.0 e_tot_ev_per_atom=-4.136 spacegroup="Pm-3m, No. 221" formation_energy_ev_per_atom=0.8040 pbc="T T T"
Li 0.000 0.000 0.000
W 2.548 2.548 2.548
Au 0.000 2.548 2.548
Au 2.548 0.000 2.548
Au 2.548 2.548 0.000



4.
4
Lattice="2.684 0.000 0.000 0.000 4.194 0.000 -1.243 0.000 5.607" Properties=species:S:1:pos:R:3 comment="LiW2Au (PBE, optimized geometry)" magnetic_moment_mub_per_cell=0.0 e_tot_ev_per_atom=-7.522 spacegroup="Pm, No. 6" formation_energy_ev_per_atom=0.2521 pbc="T T T"
Li 0.000 0.000 0.000
W 0.877 0.000 2.721
W 1.778 2.097 1.414
Au -0.462 2.097 4.378



5.
6
Lattice="0.000 3.746 3.746 3.746 0.000 3.746 3.746 3.746 0.000" Properties=species:S:1:pos:R:3 comment="LiW4Au (PBE, optimized geometry)" magnetic_moment_mub_per_cell=0.0 e_tot_ev_per_atom=-8.827 spacegroup="F-43m, No. 216" formation_energy_ev_per_atom=0.6734 pbc="T T T"
Li 0.000 0.000 0.000
W 4.694 2.799 2.799
W 2.799 4.694 2.799
W 2.799 2.799 4.694
W 4.694 4.694 4.694
Au 1.873 1.873 1.873



6.
4
Lattice="2.731 0.000 0.000 0.000 2.731 0.000 0.000 0.000 8.254" Properties=species:S:1:pos:R:3 comment="LiW2Au (PBE, optimized geometry)" magnetic_moment_mub_per_cell=0.0 e_tot_ev_per_atom=-7.168 spacegroup="P4/mmm, No. 123" formation_energy_ev_per_atom=0.6068 pbc="T T T"
Li 0.000 0.000 0.000
W 1.366 1.366 1.899
W 1.366 1.366 6.354
Au 0.000 0.000 4.127



7.
10
Lattice="7.350 0.000 0.000 0.000 7.350 0.000 0.000 0.000 2.733" Properties=species:S:1:pos:R:3 comment="Li2WAu2 (PBE, optimized geometry)" magnetic_moment_mub_per_cell=1.4 e_tot_ev_per_atom=-4.636 spacegroup="P4/mbm, No. 127" formation_energy_ev_per_atom=0.0313 pbc="T T T"
Li 0.840 2.835 0.000
Li 2.835 6.510 0.000
Li 4.515 0.840 0.000
Li 6.510 4.515 0.000
W 0.000 0.000 0.000
W 3.675 3.675 0.000
Au 1.367 5.042 1.366
Au 2.308 1.367 1.366
Au 5.042 5.983 1.366
Au 5.983 2.308 1.366



8.
4
Lattice="1.392 0.804 9.851 -1.392 0.804 9.851 0.000 -1.607 9.851" Properties=species:S:1:pos:R:3 comment="LiW2Au (PBE, optimized geometry)" magnetic_moment_mub_per_cell=0.0 e_tot_ev_per_atom=-7.238 spacegroup="R-3m, No. 166" formation_energy_ev_per_atom=0.5365 pbc="T T T"
Li 0.000 0.000 0.000
W 0.000 0.000 7.353
W 0.000 0.000 22.199
Au 0.000 0.000 14.776



Q: What is the formula in the sixth record?
A: LiW2Au